First-principles (PBE) data for a relaxed structure of InPbW2, as listed in the Alexandria database.

Cell: 9.772 9.772 9.772 Å, 17.99 17.99 17.99°
Positions (direct):
1 In 0.250 0.250 0.250
2 Pb 0.750 0.750 0.750
3 W 0.999 0.999 0.999
4 W 0.501 0.501 0.501

Final energy (eV per atom): -7.082
DOS at the Fermi energy (states/eV/atom): 0.78
ΔH_f (0 K) (eV per atom): 1.01
Polymorph energy (0 for the lowest one) (eV per formula unit): 2.13
Crystal system: trigonal

First-principles (PBE) data for a relaxed structure of In2PbW, as listed in the Alexandria database.

Cell: 5.554 5.554 3.015 Å, 90.00 90.00 105.42°
Positions (direct):
1 In 0.000 0.000 0.000
2 In 0.500 0.500 0.000
3 Pb 0.500 0.000 0.500
4 W 0.000 0.500 0.500

Final energy (eV per atom): -4.768
DOS at the Fermi energy (states/eV/atom): 1.07
ΔH_f (0 K) (eV per atom): 0.77
Crystal system: orthorhombic

First-principles (PBE) data for a relaxed structure of InPb2W, as listed in the Alexandria database.

Cell: 5.605 5.605 3.139 Å, 90.00 90.00 104.06°
Positions (direct):
1 In 0.000 0.500 0.500
2 Pb 0.000 0.000 0.000
3 Pb 0.500 0.500 0.000
4 W 0.500 0.000 0.500

Final energy (eV per atom): -4.830
DOS at the Fermi energy (states/eV/atom): 0.87
ΔH_f (0 K) (eV per atom): 0.95
Crystal system: orthorhombic

First-principles (PBE) data for a relaxed structure of InPb2W, as listed in the Alexandria database.

Cell: 7.589 7.589 7.589 Å, 156.74 142.19 44.87°
Positions (direct):
1 In 0.315 0.815 0.500
2 Pb 0.998 0.998 0.000
3 Pb 0.688 0.188 0.500
4 W 0.498 0.498 0.000

Final energy (eV per atom): -5.135
DOS at the Fermi energy (states/eV/atom): 0.43
ΔH_f (0 K) (eV per atom): 0.64
Crystal system: orthorhombic

First-principles (PBE) data for a relaxed structure of InPb2W, as listed in the Alexandria database.

Cell: 3.195 5.480 5.493 Å, 90.00 90.00 90.00°
Positions (direct):
1 In 0.000 0.500 0.500
2 Pb 0.000 0.000 0.000
3 Pb 0.500 0.500 0.000
4 W 0.500 0.000 0.500

Final energy (eV per atom): -4.824
DOS at the Fermi energy (states/eV/atom): 0.88
ΔH_f (0 K) (eV per atom): 0.95
Crystal system: orthorhombic

First-principles (PBE) data for a relaxed structure of In2PbW, as listed in the Alexandria database.

Cell: 4.183 4.183 11.268 Å, 79.30 79.30 90.00°
Positions (direct):
1 Pb 0.000 0.000 0.000
2 Pb 0.750 0.250 0.500
3 W 0.500 0.500 0.000
4 W 0.250 0.750 0.500
5 In 0.607 0.125 0.250
6 In 0.143 0.625 0.250
7 In 0.375 0.393 0.750
8 In 0.875 0.857 0.750

Final energy (eV per atom): -4.588
DOS at the Fermi energy (states/eV/atom): 1.06
ΔH_f (0 K) (eV per atom): 0.95
Crystal system: tetragonal

First-principles (PBE) data for a relaxed structure of InPbW2, as listed in the Alexandria database.

Cell: 7.773 7.773 6.192 Å, 51.12 51.12 90.00°
Each line ends with the local moment (μB).
Positions (direct):
1 Pb 0.000 0.000 0.000  0.00
2 Pb 0.750 0.250 0.500  0.00
3 W 0.623 0.125 0.250  0.82
4 W 0.127 0.625 0.250  0.82
5 W 0.375 0.377 0.750  0.82
6 W 0.875 0.873 0.750  0.82
7 In 0.500 0.500 0.000  0.00
8 In 0.250 0.750 0.500  0.00

Final energy (eV per atom): -6.527
DOS at the Fermi energy (states/eV/atom): 1.48
ΔH_f (0 K) (eV per atom): 1.56
Polymorph energy (0 for the lowest one) (eV per formula unit): 4.35
Crystal system: tetragonal

First-principles (PBE) data for a relaxed structure of In2PbW, as listed in the Alexandria database.

Cell: 5.786 5.786 5.786 Å, 143.06 128.59 64.97°
Positions (direct):
1 In 0.983 0.983 0.000
2 In 0.245 0.745 0.500
3 Pb 0.517 0.517 0.000
4 W 0.755 0.255 0.500

Final energy (eV per atom): -4.777
DOS at the Fermi energy (states/eV/atom): 0.38
ΔH_f (0 K) (eV per atom): 0.76
Crystal system: orthorhombic

First-principles (PBE) data for a relaxed structure of In2PbW, as listed in the Alexandria database.

Cell: 5.083 5.083 5.083 Å, 60.00 60.00 60.00°
Each line ends with the local moment (μB).
Positions (direct):
1 In 0.000 0.000 0.000  -0.01
2 In 0.250 0.250 0.250  -0.02
3 Pb 0.500 0.500 0.500  -0.03
4 W 0.750 0.750 0.750  1.10

Final energy (eV per atom): -4.535
DOS at the Fermi energy (states/eV/atom): 1.12
ΔH_f (0 K) (eV per atom): 1.00
Crystal system: cubic

First-principles (PBE) data for a relaxed structure of InPbW2, as listed in the Alexandria database.

Cell: 5.458 5.458 2.929 Å, 90.00 90.00 115.49°
Positions (direct):
1 In 0.500 0.000 0.500
2 Pb 0.000 0.500 0.500
3 W 0.000 0.000 0.000
4 W 0.500 0.500 0.000

Final energy (eV per atom): -6.916
DOS at the Fermi energy (states/eV/atom): 1.05
ΔH_f (0 K) (eV per atom): 1.17
Polymorph energy (0 for the lowest one) (eV per formula unit): 2.79
Crystal system: orthorhombic

First-principles (PBE) data for a relaxed structure of InPb2W, as listed in the Alexandria database.

Cell: 5.620 5.620 5.620 Å, 131.89 131.89 70.40°
Each line ends with the local moment (μB).
Positions (direct):
1 In 0.750 0.250 0.500  -0.01
2 Pb 0.000 0.000 0.000  0.01
3 Pb 0.500 0.500 0.000  0.01
4 W 0.250 0.750 0.500  1.32

Final energy (eV per atom): -4.831
DOS at the Fermi energy (states/eV/atom): 0.67
ΔH_f (0 K) (eV per atom): 0.95
Crystal system: tetragonal

First-principles (PBE) data for a relaxed structure of InPb2W, as listed in the Alexandria database.

Cell: 3.131 4.764 6.493 Å, 90.00 90.00 90.00°
Positions (direct):
1 In 0.500 0.500 0.750
2 Pb 0.000 0.000 0.017
3 Pb 0.000 0.000 0.483
4 W 0.500 0.500 0.250

Final energy (eV per atom): -4.913
DOS at the Fermi energy (states/eV/atom): 0.81
ΔH_f (0 K) (eV per atom): 0.86
Crystal system: orthorhombic